[1]
Material: POsN2
Method: DFT, PBE-GGA
State: optimized geometry

The structure in CIF format:
```
data_POsN2
_symmetry_space_group_name_H-M 'I -4 2 d'
_symmetry_Int_Tables_number 122
_symmetry_space_group_name_Hall 'I -4 2bw'
_cell_length_a 4.468
_cell_length_b 4.468
_cell_length_c 8.157
_cell_angle_alpha 90.00
_cell_angle_beta 90.00
_cell_angle_gamma 90.00
loop_
_atom_site_label
_atom_site_type_symbol
_atom_site_fract_x
_atom_site_fract_y
_atom_site_fract_z
P1 P 0.000 0.000 0.000
Os1 Os 0.000 0.000 0.500
N1 N 0.168 0.250 0.125
```

Summary:
VASP energy in eV/atom: -7.72
N(E_F) in states/eV per cell: 4.47
ΔE_f (raw) in kcal/mol of atoms: 13.982


[2]
Material: CrHIr
Method: DFT, PBE-GGA
State: optimized geometry

The structure in CIF format:
```
data_CrHIr
_symmetry_space_group_name_H-M 'P 1'
_symmetry_Int_Tables_number 1
_cell_length_a 2.707
_cell_length_b 2.761
_cell_length_c 4.228
_cell_angle_alpha 108.77
_cell_angle_beta 92.21
_cell_angle_gamma 90.00
loop_
_symmetry_equiv_pos_as_xyz
'x,y,z'
loop_
_atom_site_label
_atom_site_type_symbol
_atom_site_fract_x
_atom_site_fract_y
_atom_site_fract_z
Cr1 Cr 0.000 0.000 0.000
H1 H 0.631 0.372 0.745
Ir1 Ir 0.533 0.701 0.408
```

Summary:
Offset from the most stable computed form in meV/atom: 108
VASP energy in eV/atom: -7.24
N(E_F) in states/eV per cell: 1.65